Crystalline LiRhW2 at its relaxed geometry, computed with GGA-PBE.

Summary:
Total energy: -63.94 eV per cell
Relative energy among the computed polymorphs: 675 meV/atom
ΔE_f: 0.800 eV per atom
Crystal system: tetragonal

Lattice parameters (Å, degrees): 7.1891 7.1891 5.6815 50.75 50.75 90.00
Atoms (fractional coordinates):
1 Li 0.5000 0.5000 0.0000
2 Li 0.2500 0.7500 0.5000
3 W 0.8750 0.9021 0.7500
4 W 0.3750 0.3479 0.7500
5 W 0.0979 0.6250 0.2500
6 W 0.6521 0.1250 0.2500
7 Rh 0.0000 0.0000 0.0000
8 Rh 0.7500 0.2500 0.5000